Record 1
This record from Alexandria describes a geometry-optimized Nd2Sm6Y3Sc structure. The functional is GGA-PBE. Values from VASP.

```
&SYSTEM
  ibrav = 0, nat = 12, ntyp = 4
/
ATOMIC_SPECIES
Nd 144.24 Nd.upf
Sm 150.36 Sm.upf
Y 88.91 Y.upf
Sc 44.96 Sc.upf
CELL_PARAMETERS angstrom
-1.617 -0.490 -5.992
-3.146 -3.164 4.341
-5.769 10.242 1.797
ATOMIC_POSITIONS crystal
Nd 0.333 0.667 0.000
Nd 0.667 0.333 0.000
Sm 0.917 0.588 0.750
Sm 0.753 0.753 0.250
Sm 0.083 0.412 0.250
Sm 0.588 0.917 0.750
Sm 0.247 0.247 0.750
Sm 0.412 0.083 0.250
Y 0.166 0.834 0.500
Y 0.834 0.166 0.500
Y 0.500 0.500 0.500
Sc 0.000 0.000 0.000
```

Results
space group	C2/m
magnetic moment	0.00	Bohr magnetons per cell
ΔE_f	0.025	eV/atom

Record 2
This record from Alexandria describes a geometry-optimized Pa2MnGe structure. The functional is GGA-PBE. Values from VASP.

```
&SYSTEM
  ibrav = 0, nat = 8, ntyp = 3
/
ATOMIC_SPECIES
Pa 231.04 Pa.upf
Mn 54.94 Mn.upf
Ge 72.64 Ge.upf
CELL_PARAMETERS angstrom
3.697 0.000 0.000
0.000 5.888 -0.067
0.000 -3.049 7.588
ATOMIC_POSITIONS crystal
Pa 0.750 0.206 0.391
Pa 0.250 0.794 0.609
Pa 0.250 0.787 0.052
Pa 0.750 0.213 0.948
Mn 0.250 0.317 0.199
Mn 0.750 0.683 0.801
Ge 0.750 0.652 0.299
Ge 0.250 0.348 0.701
```

Results
space group	P2_1/m
magnetic moment	0.00	Bohr magnetons per cell
ΔE_f	-0.295	eV/atom